Density functional theory data (PBE with a Hubbard U) for a relaxed structure of V2PbO6.

abc: 8.5303 8.5303 9.0222
angles: 90.00 90.00 119.42
Closest atoms and distances in Å follow each position.
Element x y z (fractional)
V 0.0000 0.5000 0.2630  4 O 1.70-1.83
V 0.1476 0.2367 0.2490  4 O 1.66-1.85
V 0.2367 0.1476 0.7510  4 O 1.66-1.85
V 0.5000 0.0000 0.7370  4 O 1.70-1.83
V 0.7633 0.8524 0.7510  4 O 1.66-1.85
V 0.8524 0.7633 0.2490  4 O 1.66-1.85
Pb 0.3724 0.6276 0.0000  4 O 2.32-2.58
Pb 0.5000 0.5000 0.5000  4 O 2.46
Pb 0.6276 0.3724 0.0000  4 O 2.32-2.58
O 0.0000 0.0000 0.2789  2 V 1.80
O 0.0000 0.0000 0.7211  2 V 1.80
O 0.0901 0.3782 0.3678  2 V 1.83-1.85
O 0.1403 0.3040 0.0772  1 V 1.66
O 0.1746 0.6543 0.1603  1 V 1.70
O 0.2954 0.3652 0.7115  1 V 1.71
O 0.3040 0.1403 0.9228  1 V 1.66
O 0.3457 0.8254 0.8397  1 V 1.70
O 0.3652 0.2954 0.2885  1 V 1.71
O 0.3782 0.0901 0.6322  2 V 1.83-1.85
O 0.6218 0.9099 0.6322  2 V 1.83-1.85
O 0.6348 0.7046 0.2885  1 V 1.71
O 0.6543 0.1746 0.8397  1 V 1.70
O 0.6960 0.8597 0.9228  1 V 1.66
O 0.7046 0.6348 0.7115  1 V 1.71
O 0.8254 0.3457 0.1603  1 V 1.70
O 0.8597 0.6960 0.0772  1 V 1.66
O 0.9099 0.6218 0.3678  2 V 1.83-1.85

Summary:
total DFT energy (no corrections) = -7.0212 eV per atom
SG = C222 (21)
volume = 21.2 Å³ per atom
magnetic moment = 0.000 μB per cell